Entry 1:
Density functional theory data (PBE) for an optimized crystal structure of TmScS.

Formation energy without anion corrections   -1.241 eV per atom
Space-group type   P3m1, No. 156
Energy   -18.7 eV/cell

Cell lengths 3.6331, 3.6331, 5.9515 Å; angles 90.00, 90.00, 120.00 degrees
Sites, in units of the cell vectors:
Sc 0.3333 0.6667 0.5960
S 0.6667 0.3333 0.3447
Tm 0.0000 0.0000 0.0592


Entry 2:
Density functional theory data (PBE) for an optimized crystal structure of Ce4SmTe6.

Formation energy without anion corrections   -1.273 eV per atom
Space-group type   R-3c, No. 167
Energy   -122.6 eV/cell

Cell lengths 8.9284, 8.9284, 8.9284 Å; angles 88.90, 88.90, 91.10 degrees
Site moments in Bohr magnetons follow the coordinates.
Sites, in units of the cell vectors:
Ce 0.3581 0.1419 0.2500  1.16
Ce 0.8581 0.2500 0.3581  1.16
Ce 0.2500 0.6419 0.1419  1.16
Ce 0.2500 0.2500 0.7500  1.06
Ce 0.7500 0.7500 0.2500  1.06
Ce 0.7500 0.3581 0.8581  1.16
Ce 0.1419 0.7500 0.6419  1.16
Ce 0.6419 0.8581 0.7500  1.16
Sm 0.5000 0.5000 0.5000  0.13
Sm 0.0000 0.0000 0.0000  0.13
Te 0.6744 0.0598 0.0852  -0.02
Te 0.0852 0.3256 0.0598  -0.02
Te 0.5852 0.4402 0.1744  -0.02
Te 0.9402 0.0852 0.6744  -0.02
Te 0.5598 0.1744 0.5852  -0.02
Te 0.1744 0.4148 0.4402  -0.02
Te 0.8256 0.5852 0.5598  -0.02
Te 0.4402 0.8256 0.4148  -0.02
Te 0.0598 0.9148 0.3256  -0.02
Te 0.4148 0.5598 0.8256  -0.02
Te 0.9148 0.6744 0.9402  -0.02
Te 0.3256 0.9402 0.9148  -0.02


Entry 3:
Density functional theory data (PBE) for an optimized crystal structure of CaMnPb.

Space-group type   F-43m, No. 216
Energy   -13.1 eV/cell

Cell lengths 5.0757, 5.0757, 5.0757 Å; angles 60.00, 60.00, 60.00 degrees
Site moments in Bohr magnetons follow the coordinates.
Sites, in units of the cell vectors:
Pb 0.5000 0.5000 0.5000  -0.05
Ca 0.2500 0.2500 0.2500  0.02
Mn 0.0000 0.0000 0.0000  4.22


Entry 4:
Density functional theory data (PBE) for an optimized crystal structure of In2ReTc.

Space-group type   P2/m, No. 10
Energy   -25.7 eV/cell

Cell lengths 4.6003, 2.9113, 5.3401 Å; angles 84.29, 90.00, 90.00 degrees
Sites, in units of the cell vectors:
In 0.0000 0.9996 0.9985
In 0.0000 0.5004 0.5015
Re 0.5000 0.2500 0.2500
Tc 0.5000 0.7500 0.7500


Entry 5:
Density functional theory data (PBE) for an optimized crystal structure of Rb2Sn2Te.

Formation energy without anion corrections   -0.240 eV per atom
Space-group type   P4/mbm, No. 127
Energy   -28.6 eV/cell

Cell lengths 8.3330, 8.3330, 5.8155 Å; angles 90.00, 90.00, 90.00 degrees
Sites, in units of the cell vectors:
Te 0.0000 0.0000 0.0000
Te 0.5000 0.5000 0.0000
Sn 0.3803 0.8803 0.0000
Sn 0.8803 0.6197 0.0000
Sn 0.6197 0.1197 0.0000
Sn 0.1197 0.3803 0.0000
Rb 0.1892 0.6892 0.5000
Rb 0.6892 0.8108 0.5000
Rb 0.8108 0.3108 0.5000
Rb 0.3108 0.1892 0.5000


Entry 6:
Density functional theory data (PBE) for an optimized crystal structure of PrSmZn.

Space-group type   I4mm, No. 107
Energy   -11.4 eV/cell

Cell lengths 3.6990, 3.6990, 6.7612 Å; angles 105.88, 105.88, 90.00 degrees
Sites, in units of the cell vectors:
Pr 0.0200 0.0200 0.0400
Zn 0.6711 0.6711 0.3421
Sm 0.3089 0.3089 0.6179


Entry 7:
Density functional theory data (PBE) for an optimized crystal structure of KYI2Br.

Formation energy without anion corrections   -1.290 eV per atom
Space-group type   P4/mmm, No. 123
Energy   -18.8 eV/cell

Cell lengths 6.0868, 6.0868, 5.6126 Å; angles 90.00, 90.00, 90.00 degrees
Site moments in Bohr magnetons follow the coordinates.
Sites, in units of the cell vectors:
I 0.0000 0.5000 0.0000  0.00
I 0.5000 0.0000 0.0000  0.00
Y 0.0000 0.0000 0.0000  0.09
K 0.5000 0.5000 0.5000  0.00
Br 0.0000 0.0000 0.5000  0.00


Entry 8:
Density functional theory data (PBE) for an optimized crystal structure of Pm2PrErBi4.

Space-group type   P2/m, No. 10
Energy   -41.6 eV/cell

Cell lengths 4.5662, 7.9008, 7.9048 Å; angles 109.49, 90.00, 90.00 degrees
Sites, in units of the cell vectors:
Pm 0.5000 0.0000 0.5000
Pm 0.0000 0.5000 0.5000
Pr 0.0000 0.0000 0.0000
Er 0.5000 0.5000 0.0000
Bi 0.5000 0.2556 0.2496
Bi 0.5000 0.7444 0.7504
Bi 0.0000 0.2573 0.7547
Bi 0.0000 0.7427 0.2453


Entry 9:
Density functional theory data (PBE) for an optimized crystal structure of Er8Co2Ni.

Space-group type   C2/m, No. 12
Energy   -55.5 eV/cell

Cell lengths 6.5038, 6.9559, 7.8970 Å; angles 97.68, 90.00, 117.87 degrees
Sites, in units of the cell vectors:
Er 0.9028 0.3020 0.1363
Er 0.3992 0.3020 0.1363
Er 0.0972 0.6980 0.8637
Er 0.3383 0.6765 0.4754
Er 0.6008 0.6980 0.8637
Er 0.9176 0.8352 0.2930
Er 0.0824 0.1648 0.7070
Er 0.6617 0.3235 0.5246
Co 0.8678 0.7357 0.6048
Co 0.1322 0.2643 0.3952
Ni 0.0000 0.0000 0.0000


Entry 10:
Density functional theory data (PBE) for an optimized crystal structure of Ce3MnGe.

Space-group type   Pm-3m, No. 221
Energy   -32.6 eV/cell

Cell lengths 4.9747, 4.9747, 4.9747 Å; angles 90.00, 90.00, 90.00 degrees
Site moments in Bohr magnetons follow the coordinates.
Sites, in units of the cell vectors:
Ge 0.5000 0.5000 0.5000  -0.03
Mn 0.0000 0.0000 0.0000  -0.10
Ce 0.0000 0.5000 0.0000  0.40
Ce 0.0000 0.0000 0.5000  0.40
Ce 0.5000 0.0000 0.0000  0.40


> Which of these has the highest energy?

PrSmZn